[1]
# PBE AlTl2Zn, optimized geometry
# Total energy = -0.0800 Ha/atom
# ΔH_f (0 K) = 1.04 eV/f.u.
data_AlTl2Zn
_chemical_formula_sum 'Al3 Tl6 Zn3'
_cell_length_a 3.3344
_cell_length_b 3.3344
_cell_length_c 29.9801
_cell_angle_alpha 90.00
_cell_angle_beta 90.00
_cell_angle_gamma 120.00
_space_group_name_H-M_alt 'R -3 m'
_space_group_IT_number 166
_space_group_name_Hall '-R 3 2"'
loop_
_atom_site_label
_atom_site_type_symbol
_atom_site_fract_x
_atom_site_fract_y
_atom_site_fract_z
_atom_site_occupancy
Al1 Al 0.0000 0.0000 0.0000 1
Tl1 Tl 0.0000 0.0000 0.2487 1
Zn1 Zn 0.0000 0.0000 0.5000 1

---

[2]
# PBE Sr2TaTiTe, optimized geometry
# Total energy = -0.1703 Ha/atom
# Energy relative to the elements, uncorrected = 616 meV/atom
data_Sr2TaTiTe
_chemical_formula_sum 'Sr2 Ta1 Ti1 Te1'
_cell_length_a 6.0437
_cell_length_b 6.0437
_cell_length_c 4.7104
_cell_angle_alpha 90.00
_cell_angle_beta 90.00
_cell_angle_gamma 90.00
_space_group_name_H-M_alt 'P 4/m m m'
_space_group_IT_number 123
_space_group_name_Hall '-P 4 2'
loop_
_atom_site_label
_atom_site_type_symbol
_atom_site_fract_x
_atom_site_fract_y
_atom_site_fract_z
_atom_site_occupancy
Sr1 Sr 0.0000 0.5000 0.0000 1
Ta1 Ta 0.0000 0.0000 0.0000 1
Ti1 Ti 0.0000 0.0000 0.5000 1
Te1 Te 0.5000 0.5000 0.5000 1

---

[3]
# PBE NaDyBr3, optimized geometry
# Total energy = -0.1329 Ha/atom
# Energy relative to the elements, uncorrected = -1429 meV/atom
data_NaDyBr3
_chemical_formula_sum 'Na4 Dy4 Br12'
_cell_length_a 13.6422
_cell_length_b 7.8679
_cell_length_c 6.6851
_cell_angle_alpha 90.00
_cell_angle_beta 90.01
_cell_angle_gamma 90.00
_space_group_name_H-M_alt 'C 1 2/m 1'
_space_group_IT_number 12
_space_group_name_Hall '-C 2y'
loop_
_atom_site_label
_atom_site_type_symbol
_atom_site_fract_x
_atom_site_fract_y
_atom_site_fract_z
_atom_site_occupancy
Na1 Na 0.1669 0.0000 0.2497 1
Dy1 Dy 0.0000 0.5000 0.0000 1
Dy2 Dy 0.0000 0.5000 0.5000 1
Br1 Br 0.0852 0.2444 0.7500 1
Br2 Br 0.1702 0.5000 0.2501 1

---

[4]
# PBE Er6SnTe3S2, optimized geometry
# Total energy = -0.2014 Ha/atom
# Energy relative to the elements, uncorrected = -1391 meV/atom
data_Er6SnTe3S2
_chemical_formula_sum 'Er12 Sn2 Te6 S4'
_cell_length_a 7.1722
_cell_length_b 12.3882
_cell_length_c 7.4109
_cell_angle_alpha 90.00
_cell_angle_beta 108.78
_cell_angle_gamma 90.00
_space_group_name_H-M_alt 'C 1 2/m 1'
_space_group_IT_number 12
_space_group_name_Hall '-C 2y'
loop_
_atom_site_label
_atom_site_type_symbol
_atom_site_fract_x
_atom_site_fract_y
_atom_site_fract_z
_atom_site_occupancy
Er1 Er 0.2189 0.0000 0.2113 1
Er2 Er 0.2476 0.3245 0.2170 1
Sn1 Sn 0.0000 0.5000 0.0000 1
Te1 Te 0.0000 0.0000 0.5000 1
Te2 Te 0.0000 0.3395 0.5000 1
S1 S 0.0000 0.1679 0.0000 1

---

[5]
# PBE TbYHoTh2, optimized geometry
# Total energy = -0.2089 Ha/atom
# ΔH_f (0 K) = 2.09 eV/f.u.
data_TbYHoTh2
_chemical_formula_sum 'Tb4 Y4 Ho4 Th8'
_cell_length_a 6.6468
_cell_length_b 15.6590
_cell_length_c 6.6495
_cell_angle_alpha 90.00
_cell_angle_beta 90.00
_cell_angle_gamma 90.00
_space_group_name_H-M_alt 'C m c m'
_space_group_IT_number 63
_space_group_name_Hall '-C 2c 2'
loop_
_atom_site_label
_atom_site_type_symbol
_atom_site_fract_x
_atom_site_fract_y
_atom_site_fract_z
_atom_site_occupancy
Tb1 Tb 0.0000 0.2471 0.2500 1
Y1 Y 0.0000 0.1529 0.7500 1
Ho1 Ho 0.0000 0.3492 0.7500 1
Th1 Th 0.2500 0.0000 0.0000 1